Run A
Computed, not measured: a geometry-optimized BaAc6Te8 structure at the GGA-PBE level of DFT.

The calculation puts the density of states at the Fermi level at 0.29 states/eV per atom.

The structure belongs to space group Fm-3m (No. 225); the cell edges are 13.398, 13.398 and 13.398 Å and the angles 90.00°, 90.00° and 90.00°. The distinct sites, in fractional coordinates, are Ba at (0.000, 0.000, 0.000), Ac at (0.000, 0.250, 0.250), Te at (0.000, 0.000, 0.259) and Te at (0.250, 0.250, 0.250).

Run B
Computed, not measured: a geometry-optimized BaAc6Te8 structure at the GGA-PBE level of DFT.

The calculation puts the density of states at the Fermi level at 0.54 states/eV per atom.

The structure belongs to space group P-3 (No. 147); the cell edges are 12.2811, 12.2811 and 4.9059 Å and the angles 90.00°, 90.00° and 120.00°. The distinct sites, in fractional coordinates, are Ba at (0.0000, 0.0000, 0.0000), Ac at (0.1312, 0.4809, 0.7469), Te at (0.0401, 0.7089, 0.7551) and Te at (0.3333, 0.6667, 0.2471).

The winner here is run A, beating the second structure by 173 meV per atom.

Run A
Computed, not measured: a geometry-optimized Ba2AcTe3 structure at the GGA-PBE level of DFT.

The calculation puts the density of states at the Fermi level at 0.37 states/eV per atom.

The structure belongs to space group Immm (No. 71); the cell edges are 4.881, 6.916 and 14.728 Å and the angles 90.00°, 90.00° and 90.00°. The distinct sites, in fractional coordinates, are Ba at (0.000, 0.000, 0.169), Ac at (0.000, 0.000, 0.500), Te at (0.000, 0.500, 0.158) and Te at (0.000, 0.500, 0.500).

Run B
Computed, not measured: a geometry-optimized Ba2AcTe3 structure at the GGA-PBE level of DFT.

The calculation puts the density of states at the Fermi level at 0.25 states/eV per atom.

The structure belongs to space group C2/m (No. 12); the cell edges are 8.468, 14.659 and 8.502 Å and the angles 90.00°, 109.39° and 90.00°. The distinct sites, in fractional coordinates, are Ba at (0.000, 0.000, 0.000), Ba at (0.000, 0.164, 0.500), Ba at (0.000, 0.500, 0.500), Ac at (0.000, 0.333, 0.000), Te at (0.237, 0.500, 0.237) and Te at (0.249, 0.329, 0.760).

The winner here is run B, beating the second structure by 7 meV per atom.

Run A
Computed, not measured: a geometry-optimized BaAc2Th structure at the GGA-PBE level of DFT.

The calculation puts the density of states at the Fermi level at 1.53 states/eV per atom.

The structure belongs to space group R-3m (No. 166, hexagonal axes); the cell edges are 3.7871, 3.7871 and 42.3447 Å and the angles 90.00°, 90.00° and 120.00°. The distinct sites, in fractional coordinates, are Ba at (0.0000, 0.0000, 0.0000), Ac at (0.0000, 0.0000, 0.4171) and Th at (0.0000, 0.0000, 0.5000).

Run B
Computed, not measured: a geometry-optimized BaAc2Th structure at the GGA-PBE level of DFT.

The calculation puts the density of states at the Fermi level at 1.37 states/eV per atom.

The structure belongs to space group P4/mmm (No. 123); the cell edges are 3.879, 3.879 and 11.682 Å and the angles 90.00°, 90.00° and 90.00°. The distinct sites, in fractional coordinates, are Ba at (0.000, 0.000, 0.000), Ac at (0.500, 0.500, 0.285) and Th at (0.000, 0.000, 0.500).

The winner here is run B, beating the second structure by 288 meV per atom.

Run A
Computed, not measured: a geometry-optimized BaAc2Tl2 structure at the GGA-PBE level of DFT.

The calculation puts the density of states at the Fermi level at 1.22 states/eV per atom.

The structure belongs to space group Cmmm (No. 65); the cell edges are 3.916, 25.726 and 3.954 Å and the angles 90.00°, 90.00° and 90.00°. The distinct sites, in fractional coordinates, are Ba at (0.000, 0.000, 0.000), Ac at (0.000, 0.181, 0.000) and Tl at (0.000, 0.403, 0.500).

Run B
Computed, not measured: a geometry-optimized BaAc2Tl2 structure at the GGA-PBE level of DFT.

The calculation puts the density of states at the Fermi level at 0.76 states/eV per atom.

The structure belongs to space group P-1 (No. 2); the cell edges are 5.621, 7.727 and 9.352 Å and the angles 75.20°, 89.88° and 89.97°. The distinct sites, in fractional coordinates, are Ba at (0.250, 0.205, 0.279), Ac at (0.249, 0.771, 0.040), Ac at (0.250, 0.678, 0.460), Tl at (0.249, 0.108, 0.712) and Tl at (0.251, 0.470, 0.823).

The winner here is run B, beating the second structure by 56 meV per atom.

Run A
Computed, not measured: a geometry-optimized Ba2AcTl structure at the GGA-PBE level of DFT.

The calculation puts the density of states at the Fermi level at 0.81 states/eV per atom.

The structure belongs to space group Fm-3m (No. 225); the cell edges are 8.954, 8.954 and 8.954 Å and the angles 90.00°, 90.00° and 90.00°. The distinct sites, in fractional coordinates, are Ba at (0.250, 0.250, 0.250), Ac at (0.000, 0.000, 0.000) and Tl at (0.000, 0.000, 0.500).

Run B
Computed, not measured: a geometry-optimized Ba2AcTl structure at the GGA-PBE level of DFT.

The calculation puts the density of states at the Fermi level at 1.61 states/eV per atom.

The structure belongs to space group R-3m (No. 166, hexagonal axes); the cell edges are 4.0901, 4.0901 and 41.8485 Å and the angles 90.00°, 90.00° and 120.00°. The distinct sites, in fractional coordinates, are Ba at (0.0000, 0.0000, 0.0857), Ac at (0.0000, 0.0000, 0.5000) and Tl at (0.0000, 0.0000, 0.0000).

Run C
Computed, not measured: a geometry-optimized Ba2AcTl structure at the GGA-PBE level of DFT.

The calculation puts the density of states at the Fermi level at 1.32 states/eV per atom.

The structure belongs to space group P4/mmm (No. 123); the cell edges are 4.154, 4.154 and 10.675 Å and the angles 90.00°, 90.00° and 90.00°. The distinct sites, in fractional coordinates, are Ba at (0.000, 0.000, 0.205), Ac at (0.500, 0.500, 0.500) and Tl at (0.500, 0.500, 0.000).

Run D
Computed, not measured: a geometry-optimized Ba2AcTl structure at the GGA-PBE level of DFT.

The calculation puts the density of states at the Fermi level at 0.94 states/eV per atom.

The structure belongs to space group P4/mmm (No. 123); the cell edges are 5.422, 5.422 and 5.808 Å and the angles 90.00°, 90.00° and 90.00°. The distinct sites, in fractional coordinates, are Ba at (0.000, 0.500, 0.000), Ac at (0.000, 0.000, 0.500) and Tl at (0.500, 0.500, 0.500).

The winner here is run C, beating the second structure by 44 meV per atom.

Run A
Computed, not measured: a geometry-optimized BaAcTl structure at the GGA-PBE level of DFT.

The calculation puts the density of states at the Fermi level at 0.80 states/eV per atom.

The structure belongs to space group P4/nmm (No. 129, origin choice 2); the cell edges are 5.472, 5.472 and 8.814 Å and the angles 90.00°, 90.00° and 90.00°. The distinct sites, in fractional coordinates, are Ba at (0.250, 0.250, 0.134), Ac at (0.250, 0.750, 0.500) and Tl at (0.250, 0.250, 0.741).

Run B
Computed, not measured: a geometry-optimized BaAcTl structure at the GGA-PBE level of DFT.

The calculation puts the density of states at the Fermi level at 1.47 states/eV per atom.

The structure belongs to space group I4mm (No. 107); the cell edges are 4.220, 4.220 and 14.574 Å and the angles 90.00°, 90.00° and 90.00°. The distinct sites, in fractional coordinates, are Ba at (0.000, 0.000, 0.000), Ac at (0.000, 0.000, 0.277) and Tl at (0.000, 0.000, 0.652).

The winner here is run A, beating the second structure by 56 meV per atom.

Run A
Computed, not measured: a geometry-optimized BaAcTl structure at the GGA-PBE level of DFT.

The calculation puts the density of states at the Fermi level at 1.14 states/eV per atom.

The structure belongs to space group P4/nmm (No. 129, origin choice 2); the cell edges are 4.219, 4.219 and 14.605 Å and the angles 90.00°, 90.00° and 90.00°. The distinct sites, in fractional coordinates, are Ba at (0.250, 0.250, 0.129), Ac at (0.250, 0.250, 0.410) and Tl at (0.250, 0.250, 0.718).

Run B
Computed, not measured: a geometry-optimized BaAcTl structure at the GGA-PBE level of DFT.

The calculation puts the density of states at the Fermi level at 1.05 states/eV per atom.

The structure belongs to space group F-43m (No. 216); the cell edges are 8.207, 8.207 and 8.207 Å and the angles 90.00°, 90.00° and 90.00°. The distinct sites, in fractional coordinates, are Ba at (0.000, 0.000, 0.000), Ac at (0.000, 0.000, 0.500) and Tl at (0.250, 0.250, 0.750).

Run C
Computed, not measured: a geometry-optimized BaAcTl structure at the GGA-PBE level of DFT.

The calculation puts the density of states at the Fermi level at 0.86 states/eV per atom.

The structure belongs to space group P3m1 (No. 156); the cell edges are 5.8183, 5.8183 and 4.2169 Å and the angles 90.00°, 90.00° and 120.00°. The distinct sites, in fractional coordinates, are Ba at (0.0000, 0.0000, 0.0000), Ac at (0.6667, 0.3333, 0.5640) and Tl at (0.3333, 0.6667, 0.3856).

The winner here is run A, beating the second structure by 116 meV per atom.

Run A
Computed, not measured: a geometry-optimized Ba2Ac2Tl3 structure at the GGA-PBE level of DFT.

The calculation puts the density of states at the Fermi level at 0.98 states/eV per atom.

The structure belongs to space group P-1 (No. 2); the cell edges are 5.829, 5.836 and 10.307 Å and the angles 73.69°, 73.59° and 60.12°. The distinct sites, in fractional coordinates, are Ba at (0.129, 0.128, 0.115), Ac at (0.377, 0.377, 0.369), Tl at (0.000, 0.000, 0.500) and Tl at (0.256, 0.255, 0.732).

Run B
Computed, not measured: a geometry-optimized Ba2Ac2Tl3 structure at the GGA-PBE level of DFT.

The calculation puts the density of states at the Fermi level at 1.10 states/eV per atom.

The structure belongs to space group C2/m (No. 12); the cell edges are 17.452, 5.792 and 6.107 Å and the angles 90.00°, 110.40° and 90.00°. The distinct sites, in fractional coordinates, are Ba at (0.121, 0.000, 0.120), Ac at (0.126, 0.500, 0.627), Tl at (0.000, 0.000, 0.500) and Tl at (0.247, 0.000, 0.745).

The winner here is run A, beating the second structure by 30 meV per atom.

Run A
Computed, not measured: a geometry-optimized BaAcTlZn structure at the GGA-PBE level of DFT.

The calculation puts the density of states at the Fermi level at 0.80 states/eV per atom.

The structure belongs to space group F-43m (No. 216); the cell edges are 8.232, 8.232 and 8.232 Å and the angles 90.00°, 90.00° and 90.00°. The distinct sites, in fractional coordinates, are Ba at (0.000, 0.000, 0.000), Ac at (0.000, 0.000, 0.500), Tl at (0.250, 0.250, 0.250) and Zn at (0.250, 0.250, 0.750).

Run B
Computed, not measured: a geometry-optimized BaAcTlZn structure at the GGA-PBE level of DFT.

The calculation puts the density of states at the Fermi level at 1.05 states/eV per atom.

The structure belongs to space group P4mm (No. 99); the cell edges are 4.075, 4.075 and 8.378 Å and the angles 90.00°, 90.00° and 90.00°. The distinct sites, in fractional coordinates, are Ba at (0.000, 0.000, 0.000), Ac at (0.000, 0.000, 0.468), Tl at (0.500, 0.500, 0.718) and Zn at (0.500, 0.500, 0.262).

The winner here is run B, beating the second structure by 38 meV per atom.

Run A
Computed, not measured: a geometry-optimized BaAc2Tm structure at the GGA-PBE level of DFT.

The calculation puts the density of states at the Fermi level at 1.43 states/eV per atom.

The structure belongs to space group P4/mmm (No. 123); the cell edges are 4.040, 4.040 and 10.827 Å and the angles 90.00°, 90.00° and 90.00°. The distinct sites, in fractional coordinates, are Ba at (0.000, 0.000, 0.000), Ac at (0.500, 0.500, 0.288) and Tm at (0.000, 0.000, 0.500).

Run B
Computed, not measured: a geometry-optimized BaAc2Tm structure at the GGA-PBE level of DFT.

The calculation puts the density of states at the Fermi level at 1.37 states/eV per atom.

The structure belongs to space group R3m (No. 160, hexagonal axes); the cell edges are 3.9381, 3.9381 and 38.8721 Å and the angles 90.00°, 90.00° and 120.00°. The distinct sites, in fractional coordinates, are Ba at (0.0000, 0.0000, 0.0000), Ac at (0.0000, 0.0000, 0.5752), Ac at (0.0000, 0.0000, 0.7591) and Tm at (0.0000, 0.0000, 0.1672).

Run C
Computed, not measured: a geometry-optimized BaAc2Tm structure at the GGA-PBE level of DFT.

The calculation puts the density of states at the Fermi level at 1.89 states/eV per atom.

The structure belongs to space group Fm-3m (No. 225); the cell edges are 8.882, 8.882 and 8.882 Å and the angles 90.00°, 90.00° and 90.00°. The distinct sites, in fractional coordinates, are Ba at (0.000, 0.000, 0.000), Ac at (0.250, 0.250, 0.250) and Tm at (0.000, 0.000, 0.500).

Run D
Computed, not measured: a geometry-optimized BaAc2Tm structure at the GGA-PBE level of DFT.

The calculation puts the density of states at the Fermi level at 1.61 states/eV per atom.

The structure belongs to space group R-3m (No. 166, hexagonal axes); the cell edges are 3.8752, 3.8752 and 41.0146 Å and the angles 90.00°, 90.00° and 120.00°. The distinct sites, in fractional coordinates, are Ba at (0.0000, 0.0000, 0.0000), Ac at (0.0000, 0.0000, 0.0951) and Tm at (0.0000, 0.0000, 0.5000).

The winner here is run A, beating the second structure by 24 meV per atom.